VASP calculation (GGA-PBE) on Sr2AlTl after structural relaxation.

Cell lengths 6.359, 6.359, 6.359 Å; angles 133.93, 133.93, 67.20 degrees
Atoms (fractional coordinates):
Sr 0.250 0.750 0.500
Sr 0.000 0.000 0.000
Tl 0.500 0.500 0.000
Al 0.750 0.250 0.500

Formation energy, eV per formula unit: -0.34
Symmetry: I-4m2
Crystal system: tetragonal
Electronic total energy, eV for the cell shown: -9.81